First-principles (PBE) data for GeSbTe2I after structural relaxation, as listed in Alexandria via LeMat-Bulk.

* space-group type: P4/mmm, No. 123
* distance to the lowest polymorph of the same formula: 39 meV/atom
* size of the total moment: 0.00 μB/cell
* E_form (uncorrected): 0.49 eV/atom
* D(E_F): 6.1 states/eV per cell
* E: -2.824 eV/atom

a b c (Å): 5.357 5.357 5.753
angles (deg): 90.00 90.00 90.00
Element x y z (fractional)
I1 0.500 0.500 0.500
Sb1 0.000 0.000 0.500
Ge1 0.000 0.000 0.000
Te1 0.000 0.500 0.000
Te2 0.500 0.000 0.000

First-principles (PBE) data for GeSbTe2I after structural relaxation, as listed in Alexandria via LeMat-Bulk.

* space-group type: P4/mmm, No. 123
* distance to the lowest polymorph of the same formula: 142 meV/atom
* size of the total moment: 0.20 μB/cell
* E_form (uncorrected): 0.59 eV/atom
* D(E_F): 4.1 states/eV per cell
* E: -2.721 eV/atom

a b c (Å): 5.810 5.810 5.775
angles (deg): 90.00 90.00 90.00
Each line ends with the local moment (μB).
Element x y z (fractional)
I1 0.000 0.000 0.500  0.00
Sb1 0.000 0.000 0.000  0.02
Ge1 0.500 0.500 0.500  0.13
Te1 0.000 0.500 0.000  -0.05
Te2 0.500 0.000 0.000  -0.05

First-principles (PBE) data for Ti2GeSbI after structural relaxation, as listed in Alexandria via LeMat-Bulk.

* space-group type: P4/mmm, No. 123
* size of the total moment: 3.81 μB/cell
* E_form (uncorrected): 1.06 eV/atom
* D(E_F): 7.3 states/eV per cell
* E: -4.154 eV/atom

a b c (Å): 5.219 6.097 5.219
angles (deg): 90.00 90.00 90.00
Each line ends with the local moment (μB).
Element x y z (fractional)
I1 0.000 0.500 0.000  0.07
Sb1 0.000 0.000 0.000  -0.06
Ge1 0.500 0.500 0.500  -0.09
Ti1 0.000 0.000 0.500  1.63
Ti2 0.500 0.000 0.000  1.42

First-principles (PBE) data for TiGeSbI2 after structural relaxation, as listed in Alexandria via LeMat-Bulk.

* space-group type: P4/mmm, No. 123
* distance to the lowest polymorph of the same formula: 398 meV/atom
* size of the total moment: 1.56 μB/cell
* E_form (uncorrected): 0.70 eV/atom
* D(E_F): 9.4 states/eV per cell
* E: -3.245 eV/atom

a b c (Å): 5.558 5.558 5.578
angles (deg): 90.00 90.00 90.00
Each line ends with the local moment (μB).
Element x y z (fractional)
I1 0.000 0.500 0.000  0.06
I2 0.500 0.000 0.000  0.06
Sb1 0.000 0.000 0.500  0.26
Ge1 0.000 0.000 0.000  0.02
Ti1 0.500 0.500 0.500  -1.93

First-principles (PBE) data for TiGeSbI2 after structural relaxation, as listed in Alexandria via LeMat-Bulk.

* space-group type: P4/mmm, No. 123
* distance to the lowest polymorph of the same formula: 0 meV/atom
* size of the total moment: 1.14 μB/cell
* E_form (uncorrected): 0.30 eV/atom
* D(E_F): 5.4 states/eV per cell
* E: -3.643 eV/atom

a b c (Å): 5.361 5.361 5.642
angles (deg): 90.00 90.00 90.00
Each line ends with the local moment (μB).
Element x y z (fractional)
I1 0.000 0.500 0.000  -0.03
I2 0.500 0.000 0.000  -0.03
Sb1 0.000 0.000 0.500  -0.11
Ge1 0.500 0.500 0.500  0.26
Ti1 0.000 0.000 0.000  0.67

First-principles (PBE) data for TlGe2SbI after structural relaxation, as listed in Alexandria via LeMat-Bulk.

* space-group type: P4/mmm, No. 123
* size of the total moment: 0.00 μB/cell
* E_form (uncorrected): 0.89 eV/atom
* D(E_F): 3.0 states/eV per cell
* E: -2.569 eV/atom

a b c (Å): 5.521 6.088 5.521
angles (deg): 90.00 90.00 90.00
Element x y z (fractional)
I1 0.000 0.000 0.000
Sb1 0.500 0.500 0.500
Tl1 0.000 0.500 0.000
Ge1 0.000 0.000 0.500
Ge2 0.500 0.000 0.000

First-principles (PBE) data for TlGeSb2I after structural relaxation, as listed in Alexandria via LeMat-Bulk.

* space-group type: P4/mmm, No. 123
* distance to the lowest polymorph of the same formula: 0 meV/atom
* size of the total moment: 0.00 μB/cell
* E_form (uncorrected): 0.33 eV/atom
* D(E_F): 4.8 states/eV per cell
* E: -3.028 eV/atom

a b c (Å): 5.428 5.428 6.112
angles (deg): 90.00 90.00 90.00
Element x y z (fractional)
I1 0.000 0.000 0.500
Sb1 0.000 0.500 0.000
Sb2 0.500 0.000 0.000
Tl1 0.500 0.500 0.500
Ge1 0.000 0.000 0.000

First-principles (PBE) data for TlGeSb2I after structural relaxation, as listed in Alexandria via LeMat-Bulk.

* space-group type: P4/mmm, No. 123
* distance to the lowest polymorph of the same formula: 612 meV/atom
* size of the total moment: 0.65 μB/cell
* E_form (uncorrected): 0.94 eV/atom
* D(E_F): 6.4 states/eV per cell
* E: -2.416 eV/atom

a b c (Å): 5.702 5.702 6.067
angles (deg): 90.00 90.00 90.00
Each line ends with the local moment (μB).
Element x y z (fractional)
I1 0.000 0.000 0.500  0.09
Sb1 0.000 0.500 0.000  0.17
Sb2 0.500 0.000 0.000  0.17
Tl1 0.000 0.000 0.000  0.00
Ge1 0.500 0.500 0.500  -0.14

First-principles (PBE) data for VGeSb2I after structural relaxation, as listed in Alexandria via LeMat-Bulk.

* space-group type: P4/mmm, No. 123
* distance to the lowest polymorph of the same formula: 661 meV/atom
* size of the total moment: 0.01 μB/cell
* E_form (uncorrected): 1.21 eV/atom
* D(E_F): 10.3 states/eV per cell
* E: -3.497 eV/atom

a b c (Å): 5.325 5.325 5.497
angles (deg): 90.00 90.00 90.00
Each line ends with the local moment (μB).
Element x y z (fractional)
I1 0.000 0.000 0.500  0.01
Sb1 0.000 0.500 0.000  0.04
Sb2 0.500 0.000 0.000  0.04
Ge1 0.000 0.000 0.000  0.01
V1 0.500 0.500 0.500  -0.17

First-principles (PBE) data for VGeSbI2 after structural relaxation, as listed in Alexandria via LeMat-Bulk.

* space-group type: P4/mmm, No. 123
* distance to the lowest polymorph of the same formula: 0 meV/atom
* size of the total moment: 2.59 μB/cell
* E_form (uncorrected): 0.49 eV/atom
* D(E_F): 6.2 states/eV per cell
* E: -3.702 eV/atom

a b c (Å): 5.382 5.382 5.402
angles (deg): 90.00 90.00 90.00
Each line ends with the local moment (μB).
Element x y z (fractional)
I1 0.000 0.500 0.000  -0.02
I2 0.500 0.000 0.000  -0.02
Sb1 0.000 0.000 0.500  -0.18
Ge1 0.500 0.500 0.500  0.28
V1 0.000 0.000 0.000  2.05

First-principles (PBE) data for VGeSbI2 after structural relaxation, as listed in Alexandria via LeMat-Bulk.

* space-group type: P4/mmm, No. 123
* distance to the lowest polymorph of the same formula: 353 meV/atom
* size of the total moment: 2.75 μB/cell
* E_form (uncorrected): 0.84 eV/atom
* D(E_F): 10.1 states/eV per cell
* E: -3.349 eV/atom

a b c (Å): 5.605 5.605 5.545
angles (deg): 90.00 90.00 90.00
Each line ends with the local moment (μB).
Element x y z (fractional)
I1 0.000 0.500 0.000  -0.07
I2 0.500 0.000 0.000  -0.07
Sb1 0.000 0.000 0.500  -0.33
Ge1 0.000 0.000 0.000  -0.02
V1 0.500 0.500 0.500  3.12

First-principles (PBE) data for VGeSb2I after structural relaxation, as listed in Alexandria via LeMat-Bulk.

* space-group type: P4/mmm, No. 123
* distance to the lowest polymorph of the same formula: 0 meV/atom
* size of the total moment: 1.65 μB/cell
* E_form (uncorrected): 0.55 eV/atom
* D(E_F): 3.0 states/eV per cell
* E: -4.158 eV/atom

a b c (Å): 5.074 5.074 5.799
angles (deg): 90.00 90.00 90.00
Each line ends with the local moment (μB).
Element x y z (fractional)
I1 0.000 0.000 0.500  -0.08
Sb1 0.000 0.500 0.000  -0.14
Sb2 0.500 0.000 0.000  -0.14
Ge1 0.500 0.500 0.500  0.30
V1 0.000 0.000 0.000  1.46